Model i:
Compound: IrN
Source: Alexandria via LeMat-Bulk
Functional: PBEsol
Structure: relaxed

abc: 3.0780 3.0780 3.0780
angles: 60.00 60.00 60.00
Closest atoms and distances in Å follow each position.
Sites, in units of the cell vectors:
N  0.5000  0.5000  0.5000  6 Ir 2.18
Ir  0.0000  0.0000  0.0000  6 N 2.18

Symmetry: No. 225
Volume (Å³ per atom): 10.31
Spin magnetization (μB per cell): 0.40

***

Model ii:
Compound: IrN
Source: Alexandria via LeMat-Bulk
Functional: PBEsol
Structure: relaxed

abc: 2.7238 2.7238 2.7238
angles: 90.00 90.00 90.00
Closest atoms and distances in Å follow each position.
Sites, in units of the cell vectors:
Ir  0.0000  0.0000  0.0000  8 N 2.36
N  0.5000  0.5000  0.5000  8 Ir 2.36

Symmetry: No. 221
Volume (Å³ per atom): 10.10
Spin magnetization (μB per cell): 0.00

***

Result of the stability comparison: model ii is the least stable of them.

***

Model i:
Compound: ReTe2IrN
Source: Alexandria via LeMat-Bulk
Functional: PBEsol
Structure: relaxed

abc: 3.6408 5.1903 5.1903
angles: 90.00 90.00 90.00
Closest atoms and distances in Å follow each position.
Sites, in units of the cell vectors:
N  0.5000  0.0000  0.0000  2 Re 1.82
Te  0.0000  0.5000  0.0000  2 Re 2.60
Te  0.0000  0.0000  0.5000  2 Re 2.60
Ir  0.5000  0.5000  0.5000  8 Te 3.17
Re  0.0000  0.0000  0.0000  2 N 1.82

Symmetry: No. 123
Volume (Å³ per atom): 19.62
Spin magnetization (μB per cell): 0.00

***

Model ii:
Compound: ReTe2IrN
Source: Alexandria via LeMat-Bulk
Functional: PBEsol
Structure: relaxed

abc: 3.5790 5.2762 5.2762
angles: 90.00 90.00 90.00
Closest atoms and distances in Å follow each position.
Sites, in units of the cell vectors:
Te  0.0000  0.0000  0.5000  2 Ir 2.64
Te  0.0000  0.5000  0.0000  2 Ir 2.64
Ir  0.0000  0.0000  0.0000  2 N 1.79
N  0.5000  0.0000  0.0000  2 Ir 1.79
Re  0.5000  0.5000  0.5000  8 Te 3.19

Symmetry: No. 123
Volume (Å³ per atom): 19.93
Spin magnetization (μB per cell): 1.91

***

Result of the stability comparison: model ii is the least stable of them.

***

Model i:
Compound: TlIrS2N
Source: Alexandria via LeMat-Bulk
Functional: PBEsol
Structure: relaxed

abc: 3.6599 4.9249 4.9249
angles: 90.00 90.00 90.00
Closest atoms and distances in Å follow each position.
Sites, in units of the cell vectors:
S  0.0000  0.5000  0.0000  2 Ir 2.46
S  0.0000  0.0000  0.5000  2 Ir 2.46
Tl  0.5000  0.5000  0.5000  8 S 3.07
N  0.5000  0.0000  0.0000  2 Ir 1.83
Ir  0.0000  0.0000  0.0000  2 N 1.83

Symmetry: No. 123
Volume (Å³ per atom): 17.75
Spin magnetization (μB per cell): 0.00

***

Model ii:
Compound: TlIrS2N
Source: Alexandria via LeMat-Bulk
Functional: PBEsol
Structure: relaxed

abc: 3.6897 4.8714 4.8714
angles: 90.00 90.00 90.00
Closest atoms and distances in Å follow each position.
Sites, in units of the cell vectors:
Tl  0.5000  0.5000  0.5000  8 S 3.06
N  0.0000  0.0000  0.0000  2 Ir 1.84
Ir  0.5000  0.0000  0.0000  2 N 1.84
S  0.0000  0.0000  0.5000  2 N 2.44
S  0.0000  0.5000  0.0000  2 N 2.44

Symmetry: No. 123
Volume (Å³ per atom): 17.51
Spin magnetization (μB per cell): 0.00

***

Result of the stability comparison: model ii is the least stable of them.

***

Model i:
Compound: Nb15IrS32
Source: Alexandria via LeMat-Bulk
Functional: PBEsol
Structure: relaxed

abc: 8.7926 8.7926 13.0527
angles: 106.94 106.94 97.89
Closest atoms and distances in Å follow each position.
Sites, in units of the cell vectors:
S  0.5206  0.0156  0.3682  3 Nb 2.45-2.51
S  0.4850  0.4850  0.1377  3 Nb 2.46-2.49
S  0.8646  0.0981  0.6327  2 Nb 2.36-2.59, 1 Ir 2.40
S  0.7650  0.2690  0.8663  3 Nb 2.44-2.51
S  0.6419  0.3827  0.3679  3 Nb 2.38-2.60
S  0.1069  0.3579  0.1331  3 Nb 2.47-2.48
S  0.3581  0.6173  0.6321  3 Nb 2.38-2.60
S  0.1421  0.3915  0.8673  3 Nb 2.46-2.47
S  0.5150  0.5150  0.8623  3 Nb 2.46-2.49
S  0.9813  0.9813  0.1278  3 Nb 2.46-2.49
S  0.4794  0.9844  0.6318  3 Nb 2.45-2.51
S  0.0187  0.0187  0.8722  3 Nb 2.46-2.49
S  0.8931  0.6421  0.8669  3 Nb 2.47-2.48
S  0.7333  0.7333  0.6367  3 Nb 2.45-2.49
S  0.6421  0.8931  0.8669  3 Nb 2.47-2.48
S  0.6085  0.8579  0.1327  3 Nb 2.46-2.47
S  0.7720  0.7720  0.3748  1 Ir 2.41, 2 Nb 2.47
S  0.9019  0.1354  0.3673  2 Nb 2.36-2.59, 1 Ir 2.40
S  0.3579  0.1069  0.1331  3 Nb 2.47-2.48
S  0.9844  0.4794  0.6318  3 Nb 2.45-2.51
S  0.3915  0.1421  0.8673  3 Nb 2.46-2.47
S  0.2280  0.2280  0.6252  1 Ir 2.41, 2 Nb 2.47
S  0.7310  0.2350  0.1337  3 Nb 2.44-2.51
S  0.2690  0.7650  0.8663  3 Nb 2.44-2.51
S  0.2667  0.2667  0.3633  3 Nb 2.45-2.49
S  0.8579  0.6085  0.1327  3 Nb 2.46-2.47
S  0.1354  0.9019  0.3673  2 Nb 2.36-2.59, 1 Ir 2.40
S  0.3827  0.6419  0.3679  3 Nb 2.38-2.60
S  0.0156  0.5206  0.3682  3 Nb 2.45-2.51
S  0.6173  0.3581  0.6321  3 Nb 2.38-2.60
S  0.0981  0.8646  0.6327  2 Nb 2.36-2.59, 1 Ir 2.40
S  0.2350  0.7310  0.1337  3 Nb 2.44-2.51
Nb  0.2286  0.7714  0.5000  6 S 2.36-2.60
Nb  0.3808  0.6192  0.0000  6 S 2.46-2.51
Nb  0.3882  0.1408  0.5014  6 S 2.38-2.59
Nb  0.0000  0.5000  0.0000  6 S 2.47
Nb  0.6118  0.8592  0.4986  6 S 2.38-2.59
Nb  0.7714  0.2286  0.5000  6 S 2.36-2.60
Nb  0.8592  0.6118  0.4986  6 S 2.38-2.59
Nb  0.6192  0.3808  0.0000  6 S 2.46-2.51
Nb  0.7482  0.7482  0.9993  6 S 2.46-2.49
Nb  0.2518  0.2518  0.0007  6 S 2.46-2.49
Nb  0.1408  0.3882  0.5014  6 S 2.38-2.59
Nb  0.5000  0.5000  0.5000  6 S 2.48-2.49
Nb  0.5000  0.0000  0.0000  6 S 2.47
Nb  0.1313  0.8687  0.0000  6 S 2.44-2.49
Nb  0.8687  0.1313  0.0000  6 S 2.44-2.49
Ir  0.0000  0.0000  0.5000  6 S 2.40-2.41

Symmetry: No. 12
Volume (Å³ per atom): 18.66
Spin magnetization (μB per cell): 0.00

***

Model ii:
Compound: Nb15IrS32
Source: Alexandria via LeMat-Bulk
Functional: PBEsol
Structure: relaxed

abc: 8.8134 8.8179 13.0418
angles: 106.65 106.92 98.58
Closest atoms and distances in Å follow each position.
Sites, in units of the cell vectors:
S  0.7196  0.4733  0.3627  3 Nb 2.40-2.50
S  0.3968  0.8720  0.6123  1 Ir 2.40, 2 Nb 2.49-2.54
S  0.6463  0.1538  0.1350  3 Nb 2.43-2.51
S  0.1616  0.1509  0.6342  3 Nb 2.42-2.56
S  0.6079  0.1001  0.3677  3 Nb 2.36-2.56
S  0.8973  0.8981  0.1258  3 Nb 2.45-2.54
S  0.7738  0.5274  0.1376  3 Nb 2.44-2.48
S  0.8466  0.8372  0.3655  3 Nb 2.42-2.57
S  0.0981  0.1004  0.8611  3 Nb 2.44-2.49
S  0.4004  0.4030  0.1353  3 Nb 2.44-2.49
S  0.2734  0.5317  0.6273  1 Ir 2.40, 2 Nb 2.40-2.56
S  0.0170  0.7711  0.6279  3 Nb 2.47-2.51
S  0.3508  0.3442  0.3576  1 Ir 2.38, 2 Nb 2.43-2.44
S  0.1252  0.6025  0.3875  1 Ir 2.40, 2 Nb 2.49-2.54
S  0.0215  0.2804  0.1335  3 Nb 2.39-2.52
S  0.1481  0.6481  0.1349  3 Nb 2.43-2.50
S  0.9743  0.2257  0.3679  3 Nb 2.45-2.51
S  0.6540  0.6460  0.6421  1 Ir 2.38, 2 Nb 2.43
S  0.2706  0.0215  0.1289  3 Nb 2.45-2.56
S  0.6020  0.6053  0.8709  3 Nb 2.45-2.52
S  0.4662  0.7259  0.3729  1 Ir 2.39, 2 Nb 2.40-2.56
S  0.2250  0.4721  0.8632  3 Nb 2.41-2.51
S  0.9760  0.7299  0.8743  3 Nb 2.45-2.55
S  0.5240  0.7750  0.1309  3 Nb 2.45-2.50
S  0.7237  0.9796  0.8666  3 Nb 2.44-2.49
S  0.8485  0.3474  0.8661  3 Nb 2.40-2.52
S  0.2273  0.9823  0.3713  3 Nb 2.45-2.52
S  0.4706  0.2244  0.8635  3 Nb 2.44-2.49
S  0.5255  0.2777  0.6377  3 Nb 2.41-2.50
S  0.7743  0.0230  0.6315  3 Nb 2.44-2.51
S  0.8991  0.3897  0.6319  3 Nb 2.36-2.56
S  0.3481  0.8525  0.8713  3 Nb 2.45-2.51
Nb  0.2604  0.2685  0.4998  6 S 2.40-2.56
Nb  0.0038  0.0207  0.0007  6 S 2.39-2.55
Nb  0.5119  0.0218  0.5003  6 S 2.36-2.56
Nb  0.5035  0.4979  0.9998  6 S 2.45-2.51
Nb  0.8710  0.6094  0.9993  6 S 2.40-2.54
Nb  0.7386  0.2525  0.9998  6 S 2.44-2.52
Nb  0.7298  0.7361  0.5002  6 S 2.40-2.57
Nb  0.6159  0.3814  0.4999  6 S 2.43-2.56
Nb  0.9771  0.4883  0.5000  6 S 2.36-2.56
Nb  0.1196  0.8812  0.4993  6 S 2.42-2.49
Nb  0.1303  0.3744  0.9996  6 S 2.44-2.52
Nb  0.6254  0.8882  0.0008  6 S 2.43-2.52
Nb  0.3682  0.1321  0.0002  6 S 2.45-2.51
Nb  0.8883  0.1101  0.4995  6 S 2.44-2.54
Nb  0.2460  0.7327  0.9990  6 S 2.41-2.56
Ir  0.3948  0.6028  0.4996  6 S 2.38-2.40

Symmetry: No. 1
Volume (Å³ per atom): 18.72
Spin magnetization (μB per cell): 0.00

***

Result of the stability comparison: model i is the least stable of them.